[1]
Density functional theory data (GGA-PBE) for a relaxed structure of Re2AgCl8.

## Properties
E_form (uncorrected) (kJ/mol of atoms): -20.54
V (A^3/atom): 35.351

The structure in CIF format:
```
data_Re2AgCl8
_symmetry_space_group_name_H-M 'C 1 2/m 1'
_symmetry_Int_Tables_number 12
_cell_length_a 12.960
_cell_length_b 8.571
_cell_length_c 7.072
_cell_angle_alpha 90.00
_cell_angle_beta 98.10
_cell_angle_gamma 90.00
loop_
_symmetry_equiv_pos_as_xyz
'x,y,z'
'-x,-y,-z'
'-x,y,-z'
'x,-y,z'
'x+1/2,y+1/2,z'
'-x+1/2,-y+1/2,-z'
'-x+1/2,y+1/2,-z'
'x+1/2,-y+1/2,z'
loop_
_atom_site_label
_atom_site_fract_x
_atom_site_fract_y
_atom_site_fract_z
Re1 0.212 0.000 0.173
Ag1 0.000 0.000 0.500
Cl1 0.119 0.500 0.721
Cl2 0.122 0.185 0.307
Cl3 0.180 0.000 0.856
```



[2]
Density functional theory data (GGA-PBE) for a relaxed structure of Co2HgRh.

## Properties
Formation energy from the elements (eV per formula unit): 1.4
V (A^3/atom): 14.302

The structure in CIF format:
```
data_Co2HgRh
_symmetry_space_group_name_H-M 'I 4/m m m'
_symmetry_Int_Tables_number 139
_symmetry_space_group_name_Hall '-I 4 2'
_cell_length_a 3.875
_cell_length_b 3.875
_cell_length_c 7.620
_cell_angle_alpha 90.00
_cell_angle_beta 90.00
_cell_angle_gamma 90.00
loop_
_atom_site_label
_atom_site_fract_x
_atom_site_fract_y
_atom_site_fract_z
Co1 0.000 0.500 0.250
Hg1 0.000 0.000 0.000
Rh1 0.000 0.000 0.500
```